Entry 1:
! V2CrS2, relaxed, DFT PBE; values from VASP
! Magnetization: 1.81 μB per formula unit
! Space-group type: P4/mbm, No. 127
! Calculated volume: 136.8 Å³/cell
! Density of states at the Fermi level: 4.483 states/eV/f.u.
! Offset from the most stable computed form: 0.70 kcal/mol of atoms
! Total energy: -7.32 eV/atom
! ΔE_f (raw): -0.099 eV/atom
&SYSTEM
  ibrav = 0, nat = 10, ntyp = 3
/
ATOMIC_SPECIES
Cr 52.00 Cr.upf
S 32.06 S.upf
V 50.94 V.upf
CELL_PARAMETERS angstrom
-3.489 1.900 -5.440
1.222 -5.971 -2.869
-2.521 -1.107 1.230
ATOMIC_POSITIONS crystal
Cr 0.000 0.000 0.000
Cr 0.500 0.500 0.000
S 0.153 0.653 0.500
S 0.653 0.847 0.500
S 0.847 0.347 0.500
S 0.347 0.153 0.500
V 0.357 0.857 0.000
V 0.857 0.643 0.000
V 0.643 0.143 0.000
V 0.143 0.357 0.000



Entry 2:
! VCr2S4, relaxed, DFT PBE; values from VASP
! Magnetization: 7.06 μB per formula unit
! Space-group type: C2/m, No. 12
! Calculated volume: 114.3 Å³/cell
! Density of states at the Fermi level: 1.551 states/eV/f.u.
! Offset from the most stable computed form: 0.42 kcal/mol of atoms
! Total energy: -7.18 eV/atom
! ΔE_f (raw): -0.767 eV/atom
&SYSTEM
  ibrav = 0, nat = 7, ntyp = 3
/
ATOMIC_SPECIES
V 50.94 V.upf
Cr 52.00 Cr.upf
S 32.06 S.upf
CELL_PARAMETERS angstrom
6.492 0.007 -0.006
5.589 3.302 -0.006
2.844 0.779 5.338
ATOMIC_POSITIONS crystal
V 0.000 0.000 0.000
Cr 0.741 0.741 0.275
Cr 0.259 0.259 0.725
S 0.875 0.875 0.447
S 0.125 0.125 0.553
S 0.632 0.632 0.030
S 0.368 0.368 0.970



Entry 3:
! V3CrS6, relaxed, DFT PBE; values from VASP
! Magnetization: 3.50 μB per formula unit
! Space-group type: R3, No. 146
! Calculated volume: 162.9 Å³/cell
! Density of states at the Fermi level: 6.845 states/eV/f.u.
! Total energy: -7.01 eV/atom
! ΔE_f (raw): -0.839 eV/atom
&SYSTEM
  ibrav = 0, nat = 10, ntyp = 3
/
ATOMIC_SPECIES
V 50.94 V.upf
Cr 52.00 Cr.upf
S 32.06 S.upf
CELL_PARAMETERS angstrom
-5.268 0.634 2.505
-0.496 -0.064 5.846
-1.212 5.608 2.903
ATOMIC_POSITIONS crystal
V 0.336 0.336 0.991
V 0.665 0.665 0.004
V 0.167 0.167 0.500
Cr 0.835 0.835 0.494
S 0.917 0.581 0.253
S 0.249 0.917 0.253
S 0.581 0.249 0.253
S 0.080 0.415 0.750
S 0.755 0.080 0.750
S 0.415 0.755 0.750



Entry 4:
! VCr3S, relaxed, DFT PBE; values from VASP
! Magnetization: 2.82 μB per formula unit
! Space-group type: Pm-3m, No. 221
! Calculated volume: 73.0 Å³/cell
! Density of states at the Fermi level: 4.414 states/eV/f.u.
! Offset from the most stable computed form: 0.00 kcal/mol of atoms
! Total energy: -8.01 eV/atom
! ΔE_f (raw): 0.416 eV/atom
&SYSTEM
  ibrav = 0, nat = 5, ntyp = 3
/
ATOMIC_SPECIES
Cr 52.00 Cr.upf
S 32.06 S.upf
V 50.94 V.upf
CELL_PARAMETERS angstrom
4.179 0.000 0.000
0.000 4.179 0.000
0.000 0.000 4.179
ATOMIC_POSITIONS crystal
Cr 0.000 0.500 0.000
Cr 0.000 0.000 0.500
Cr 0.500 0.000 0.000
S 0.000 0.000 0.000
V 0.500 0.500 0.500



Entry 5:
! VCrS, relaxed, DFT PBE; values from VASP
! Magnetization: 1.06 μB per formula unit
! Space-group type: P3m1, No. 156
! Calculated volume: 42.9 Å³/cell
! Density of states at the Fermi level: 2.806 states/eV/f.u.
! Offset from the most stable computed form: 3.01 kcal/mol of atoms
! Total energy: -7.70 eV/atom
! ΔE_f (raw): -0.080 eV/atom
&SYSTEM
  ibrav = 0, nat = 3, ntyp = 3
/
ATOMIC_SPECIES
Cr 52.00 Cr.upf
S 32.06 S.upf
V 50.94 V.upf
CELL_PARAMETERS angstrom
3.313 0.000 0.000
-1.657 2.869 0.000
0.000 0.000 4.508
ATOMIC_POSITIONS crystal
Cr 0.000 0.000 0.071
S 0.667 0.333 0.328
V 0.333 0.667 0.602



Entry 6:
! VCrS2, relaxed, DFT PBE; values from VASP
! Magnetization: 5.30 μB per formula unit
! Space-group type: I-42d, No. 122
! Calculated volume: 153.1 Å³/cell
! Density of states at the Fermi level: 3.055 states/eV/f.u.
! Offset from the most stable computed form: 2.06 kcal/mol of atoms
! Total energy: -7.21 eV/atom
! ΔE_f (raw): -0.462 eV/atom
&SYSTEM
  ibrav = 0, nat = 8, ntyp = 3
/
ATOMIC_SPECIES
Cr 52.00 Cr.upf
S 32.06 S.upf
V 50.94 V.upf
CELL_PARAMETERS angstrom
5.361 0.000 0.000
0.000 5.361 0.000
2.680 2.680 5.327
ATOMIC_POSITIONS crystal
Cr 0.000 0.000 0.000
Cr 0.750 0.250 0.500
S 0.621 0.125 0.250
S 0.129 0.625 0.250
S 0.375 0.379 0.750
S 0.875 0.871 0.750
V 0.500 0.500 0.000
V 0.250 0.750 0.500



Entry 7:
! VCrS2, relaxed, DFT PBE; values from VASP
! Magnetization: 2.98 μB per formula unit
! Space-group type: Fm-3m, No. 225
! Calculated volume: 52.6 Å³/cell
! Density of states at the Fermi level: 1.498 states/eV/f.u.
! Offset from the most stable computed form: 4.97 kcal/mol of atoms
! Total energy: -7.09 eV/atom
! ΔE_f (raw): -0.336 eV/atom
&SYSTEM
  ibrav = 0, nat = 4, ntyp = 3
/
ATOMIC_SPECIES
Cr 52.00 Cr.upf
S 32.06 S.upf
V 50.94 V.upf
CELL_PARAMETERS angstrom
0.000 2.974 2.974
2.974 0.000 2.974
2.974 2.974 0.000
ATOMIC_POSITIONS crystal
Cr 0.500 0.500 0.500
S 0.250 0.250 0.250
S 0.750 0.750 0.750
V 0.000 0.000 0.000



Entry 8:
! V2CrS6, relaxed, DFT PBE; values from VASP
! Magnetization: 1.96 μB per formula unit
! Space-group type: C2/m, No. 12
! Calculated volume: 171.6 Å³/cell
! Density of states at the Fermi level: 4.678 states/eV/f.u.
! Offset from the most stable computed form: 0.00 kcal/mol of atoms
! Total energy: -6.61 eV/atom
! ΔE_f (raw): -0.760 eV/atom
&SYSTEM
  ibrav = 0, nat = 9, ntyp = 3
/
ATOMIC_SPECIES
V 50.94 V.upf
Cr 52.00 Cr.upf
S 32.06 S.upf
CELL_PARAMETERS angstrom
-2.899 0.398 1.321
0.366 -6.857 2.872
4.346 5.610 3.944
ATOMIC_POSITIONS crystal
V 0.841 0.678 0.682
V 0.159 0.322 0.318
Cr 0.500 0.000 0.000
S 0.340 0.907 0.680
S 0.002 0.232 0.005
S 0.674 0.566 0.348
S 0.998 0.768 0.995
S 0.660 0.093 0.320
S 0.326 0.434 0.652



Entry 9:
! VCr2S4, relaxed, DFT PBE; values from VASP
! Magnetization: 3.92 μB per formula unit
! Space-group type: Pbam, No. 55
! Calculated volume: 223.2 Å³/cell
! Density of states at the Fermi level: 4.734 states/eV/f.u.
! Offset from the most stable computed form: 1.08 kcal/mol of atoms
! Total energy: -7.15 eV/atom
! ΔE_f (raw): -0.739 eV/atom
&SYSTEM
  ibrav = 0, nat = 14, ntyp = 3
/
ATOMIC_SPECIES
V 50.94 V.upf
Cr 52.00 Cr.upf
S 32.06 S.upf
CELL_PARAMETERS angstrom
3.371 0.000 0.000
0.000 5.766 0.000
0.000 0.000 11.485
ATOMIC_POSITIONS crystal
V 0.000 0.500 0.500
V 0.000 0.000 0.000
Cr 0.500 0.013 0.243
Cr 0.500 0.487 0.743
Cr 0.500 0.513 0.257
Cr 0.500 0.987 0.757
S 0.000 0.737 0.834
S 0.000 0.237 0.666
S 0.500 0.758 0.086
S 0.500 0.258 0.414
S 0.500 0.742 0.586
S 0.500 0.242 0.914
S 0.000 0.763 0.334
S 0.000 0.263 0.166



Entry 10:
! VCrS3, relaxed, DFT PBE; values from VASP
! Magnetization: 4.89 μB per formula unit
! Space-group type: Pm-3m, No. 221
! Calculated volume: 92.5 Å³/cell
! Density of states at the Fermi level: 4.445 states/eV/f.u.
! Offset from the most stable computed form: 22.81 kcal/mol of atoms
! Total energy: -6.05 eV/atom
! ΔE_f (raw): 0.178 eV/atom
&SYSTEM
  ibrav = 0, nat = 5, ntyp = 3
/
ATOMIC_SPECIES
Cr 52.00 Cr.upf
S 32.06 S.upf
V 50.94 V.upf
CELL_PARAMETERS angstrom
-1.222 -3.090 3.069
4.306 -1.331 0.374
0.647 3.023 3.301
ATOMIC_POSITIONS crystal
Cr 0.000 0.000 0.000
S 0.000 0.500 0.000
S 0.000 0.000 0.500
S 0.500 0.000 0.000
V 0.500 0.500 0.500



Entry 11:
! VCrS3, relaxed, DFT PBE; values from VASP
! Magnetization: 2.23 μB per formula unit
! Space-group type: R-3, No. 148
! Calculated volume: 160.1 Å³/cell
! Density of states at the Fermi level: 3.089 states/eV/f.u.
! Offset from the most stable computed form: 0.88 kcal/mol of atoms
! Total energy: -7.00 eV/atom
! ΔE_f (raw): -0.772 eV/atom
&SYSTEM
  ibrav = 0, nat = 10, ntyp = 3
/
ATOMIC_SPECIES
V 50.94 V.upf
Cr 52.00 Cr.upf
S 32.06 S.upf
CELL_PARAMETERS angstrom
-0.625 0.281 -5.802
-4.705 -2.345 -2.548
-4.401 4.022 -2.272
ATOMIC_POSITIONS crystal
V 0.835 0.835 0.496
V 0.165 0.165 0.504
Cr 0.665 0.665 0.006
Cr 0.335 0.335 0.994
S 0.255 0.579 0.250
S 0.916 0.255 0.250
S 0.579 0.916 0.250
S 0.421 0.084 0.750
S 0.084 0.745 0.750
S 0.745 0.421 0.750



Entry 12:
! VCr2S4, relaxed, DFT PBE; values from VASP
! Magnetization: 0.58 μB per formula unit
! Space-group type: Cmcm, No. 63
! Calculated volume: 198.5 Å³/cell
! Density of states at the Fermi level: 5.893 states/eV/f.u.
! Offset from the most stable computed form: 8.50 kcal/mol of atoms
! Total energy: -6.83 eV/atom
! ΔE_f (raw): -0.417 eV/atom
&SYSTEM
  ibrav = 0, nat = 14, ntyp = 3
/
ATOMIC_SPECIES
V 50.94 V.upf
Cr 52.00 Cr.upf
S 32.06 S.upf
CELL_PARAMETERS angstrom
-1.232 0.604 -2.853
5.282 -2.006 -0.949
-4.113 -10.610 -0.469
ATOMIC_POSITIONS crystal
V 0.606 0.211 0.750
V 0.394 0.789 0.250
Cr 0.171 0.343 0.426
Cr 0.829 0.657 0.926
Cr 0.171 0.343 0.074
Cr 0.829 0.657 0.574
S 0.806 0.612 0.118
S 0.806 0.612 0.382
S 0.194 0.388 0.882
S 0.194 0.388 0.618
S 0.938 0.876 0.750
S 0.062 0.124 0.250
S 0.500 0.000 0.000
S 0.500 0.000 0.500